# Pm2Zn5Pd5

Pm2Zn5Pd5 after structural relaxation (PBE-GGA, OQMD).

The structure belongs to space group Pmmm (No. 47); the cell edges are 4.359, 5.299 and 9.326 Å and the angles 90.00°, 90.00° and 90.00°. The inequivalent atoms are Pm at (0.000, 0.000, 0.000), Pm at (0.000, 0.500, 0.500), Zn at (0.500, 0.000, 0.500), Zn at (0.500, 0.251, 0.249), Pd at (0.000, 0.000, 0.333), Pd at (0.000, 0.500, 0.179) and Pd at (0.500, 0.500, 0.000).

As for the energy of formation from the pure elements: -0.655 eV per atom. The value obtained for the raw total energy is -4.13 eV/atom. The calculation puts the total magnetization at 0.02 μB per cell.

# LaPrMg4Pt2

LaPrMg4Pt2 after structural relaxation (PBE-GGA, OQMD).

The structure belongs to space group Amm2 (No. 38); the cell edges are 8.292, 4.294 and 10.468 Å and the angles 90.00°, 90.00° and 90.00°. The inequivalent atoms are La at (0.000, 0.000, 0.000), Pr at (0.500, 0.000, 0.878), Mg at (0.197, 0.000, 0.285), Mg at (0.306, 0.000, 0.593), Pt at (0.000, 0.000, 0.712) and Pt at (0.500, 0.000, 0.166).

The value obtained for the raw total energy is -4.21 eV/atom. The calculation puts the total magnetization at 0.02 μB per cell.

# LiZrCuSi

LiZrCuSi after structural relaxation (PBE-GGA, OQMD).

The structure belongs to space group F-43m (No. 216); the cell edges are 6.172, 6.172 and 6.172 Å and the angles 90.00°, 90.00° and 90.00°. The inequivalent atoms are Li at (0.000, 0.000, 0.000), Zr at (0.250, 0.250, 0.250), Cu at (0.250, 0.250, 0.750) and Si at (0.000, 0.000, 0.500).

The value obtained for the raw total energy is -5.08 eV/atom. The calculation puts the total magnetization at 0.03 μB per cell.

# MgZrScCo

MgZrScCo after structural relaxation (PBE-GGA, OQMD).

The structure belongs to space group F-43m (No. 216); the cell edges are 6.636, 6.636 and 6.636 Å and the angles 90.00°, 90.00° and 90.00°. The inequivalent atoms are Mg at (0.000, 0.000, 0.000), Zr at (0.250, 0.250, 0.750), Sc at (0.250, 0.250, 0.250) and Co at (0.000, 0.000, 0.500).

The value obtained for the raw total energy is -5.92 eV/atom. The calculation puts the total magnetization at 0.01 μB per cell.

# ZrNb3Ga2C2

ZrNb3Ga2C2 after structural relaxation (PBE-GGA, OQMD).

The structure belongs to space group P3m1 (No. 156); the cell edges are 3.1916, 3.1916 and 13.8194 Å and the angles 90.00°, 90.00° and 120.00°. The inequivalent atoms are Zr at (0.0000, 0.0000, 0.0000), Nb at (0.0000, 0.0000, 0.3248), Nb at (0.6667, 0.3333, 0.4995), Nb at (0.6667, 0.3333, 0.8155), Ga at (0.0000, 0.0000, 0.6571), Ga at (0.6667, 0.3333, 0.1667), C at (0.3333, 0.6667, 0.4118) and C at (0.3333, 0.6667, 0.9034).

The value obtained for the raw total energy is -8.49 eV/atom. The calculation puts the total magnetization at 0.01 μB per cell.

# GdEr2Mg3Tl2Hg

GdEr2Mg3Tl2Hg after structural relaxation (PBE-GGA, OQMD).

The structure belongs to space group Amm2 (No. 38); the cell edges are 4.597, 13.058 and 7.476 Å and the angles 90.00°, 90.00° and 90.00°. The inequivalent atoms are Gd at (0.000, 0.000, 0.000), Er at (0.000, 0.211, 0.632), Mg at (0.500, 0.000, 0.661), Mg at (0.500, 0.119, 0.303), Tl at (0.500, 0.168, 0.921) and Hg at (0.000, 0.000, 0.426).

The value obtained for the raw total energy is -2.97 eV/atom. The calculation puts the total magnetization at 0.00 μB per cell.

# KNdW

KNdW after structural relaxation (PBE-GGA, OQMD).

The structure belongs to space group F-43m (No. 216); the cell edges are 7.208, 7.208 and 7.208 Å and the angles 90.00°, 90.00° and 90.00°. The inequivalent atoms are K at (0.000, 0.000, 0.000), Nd at (0.250, 0.250, 0.750) and W at (0.250, 0.250, 0.250).

The value obtained for the raw total energy is -3.92 eV/atom. The calculation puts the total magnetization at 11.12 μB per cell.

# CsPIrO

CsPIrO after structural relaxation (PBE-GGA, OQMD).

The structure belongs to space group P4/nmm (No. 129, origin choice 2); the cell edges are 3.978, 3.978 and 11.569 Å and the angles 90.00°, 90.00° and 90.00°. The inequivalent atoms are Cs at (0.250, 0.250, 0.171), P at (0.250, 0.250, 0.609), Ir at (0.250, 0.750, 0.500) and O at (0.250, 0.750, 0.000).

The value obtained for the raw total energy is -5.35 eV/atom. The calculation puts the total magnetization at 0.00 μB per cell.

# Li8HgO6

Li8HgO6 after structural relaxation (PBE-GGA, OQMD).

The structure belongs to space group R-3 (No. 148, hexagonal axes); the cell edges are 5.5376, 5.5376 and 15.5998 Å and the angles 90.00°, 90.00° and 120.00°. The inequivalent atoms are Li at (0.0000, 0.0000, 0.1536), Li at (0.0076, 0.3160, 0.7143), Hg at (0.0000, 0.0000, 0.5000) and O at (0.0004, 0.3493, 0.2519).

The value obtained for the raw total energy is -4.45 eV/atom.

# Sc4ZnPbC2

Sc4ZnPbC2 after structural relaxation (PBE-GGA, OQMD).

The structure belongs to space group P-6m2 (No. 187); the cell edges are 3.3634, 3.3634 and 14.8649 Å and the angles 90.00°, 90.00° and 120.00°. The inequivalent atoms are Sc at (0.0000, 0.0000, 0.1606), Sc at (0.6667, 0.3333, 0.3243), Zn at (0.6667, 0.3333, 0.0000), Pb at (0.0000, 0.0000, 0.5000) and C at (0.3333, 0.6667, 0.2443).

The value obtained for the raw total energy is -6.58 eV/atom. The calculation puts the total magnetization at 0.78 μB per cell.

# ScTlCdTe3

ScTlCdTe3 after structural relaxation (PBE-GGA, OQMD).

The structure belongs to space group Pnma (No. 62); the cell edges are 13.194, 4.368 and 13.412 Å and the angles 90.00°, 90.00° and 90.00°. The inequivalent atoms are Sc at (0.037, 0.250, 0.166), Tl at (0.153, 0.250, 0.495), Cd at (0.249, 0.750, 0.300), Te at (0.031, 0.750, 0.324), Te at (0.083, 0.250, 0.932) and Te at (0.245, 0.750, 0.663).

The value obtained for the raw total energy is -3.82 eV/atom. The calculation puts the total magnetization at 0.01 μB per cell.

# NaGdBe

NaGdBe after structural relaxation (PBE-GGA, OQMD).

The structure belongs to space group F-43m (No. 216); the cell edges are 6.790, 6.790 and 6.790 Å and the angles 90.00°, 90.00° and 90.00°. The inequivalent atoms are Na at (0.000, 0.000, 0.000), Gd at (0.250, 0.250, 0.750) and Be at (0.000, 0.000, 0.500).

The value obtained for the raw total energy is -2.20 eV/atom. The calculation puts the total magnetization at 0.05 μB per cell.